# 1
The following is a PBE-GGA calculation of CrCo2Pb after structural relaxation, from Alexandria.

Unit cell a=4.363 b=4.363 c=4.363 alpha=60.00 beta=60.00 gamma=60.00
Last column: magnetic moment on the atom in μB.
Fractional positions:
Co 0.000 0.000 0.000  1.00
Co 0.750 0.750 0.750  1.62
Cr 0.500 0.500 0.500  2.65
Pb 0.250 0.250 0.250  -0.04

Computed properties:
M_tot	5.3	μB/f.u.
energy of formation from the pure elements	0.58	eV/atom
crystal system	cubic

***

# 2
The following is a PBE-GGA calculation of CuPdS2 after structural relaxation, from Alexandria.

Unit cell a=3.878 b=3.724 c=6.828 alpha=74.17 beta=59.93 gamma=90.00
Fractional positions:
Cu 0.750 0.250 0.500
Pd 0.250 0.750 0.500
S 0.977 0.878 0.244
S 0.523 0.622 0.756

Computed properties:
M_tot	0.0	μB/f.u.
formation energy without anion corrections	-0.49	eV/f.u.
crystal system	monoclinic

***

# 3
The following is a PBE-GGA calculation of Y2TlPtO5 after structural relaxation, from Alexandria.

Unit cell a=5.862 b=6.657 c=6.657 alpha=90.00 beta=90.00 gamma=90.00
Last column: magnetic moment on the atom in μB.
Fractional positions:
Y 0.500 0.675 0.175  -0.01
Y 0.500 0.175 0.325  -0.01
Y 0.500 0.825 0.675  -0.01
Y 0.500 0.325 0.825  -0.01
Tl 0.000 0.500 0.500  0.03
Tl 0.000 0.000 0.000  0.03
Pt 0.000 0.000 0.500  0.35
Pt 0.000 0.500 0.000  0.35
O 0.500 0.500 0.500  0.20
O 0.500 0.000 0.000  0.20
O 0.267 0.133 0.633  0.08
O 0.267 0.867 0.367  0.08
O 0.267 0.367 0.133  0.08
O 0.267 0.633 0.867  0.08
O 0.733 0.133 0.633  0.08
O 0.733 0.633 0.867  0.08
O 0.733 0.867 0.367  0.08
O 0.733 0.367 0.133  0.08

Computed properties:
M_tot	1.0	μB/f.u.
formation energy without anion corrections	-18.87	eV/f.u.
crystal system	tetragonal

***

# 4
The following is a PBE-GGA calculation of TiAlAg after structural relaxation, from Alexandria.

Unit cell a=7.804 b=4.978 c=2.861 alpha=90.01 beta=68.46 gamma=102.83
Fractional positions:
Al 0.041 0.097 0.243
Al 0.697 0.314 0.588
Ag 0.367 0.530 0.918
Ag 0.372 0.028 0.412
Ti 0.019 0.582 0.765
Ti 0.718 0.821 0.067

Computed properties:
M_tot	0.0	μB/f.u.
energy of formation from the pure elements	-0.16	eV/atom
crystal system	monoclinic

***

# 5
The following is a PBE-GGA calculation of BaCaTc2 after structural relaxation, from Alexandria.

Unit cell a=5.153 b=5.153 c=5.153 alpha=60.00 beta=60.00 gamma=60.00
Last column: magnetic moment on the atom in μB.
Fractional positions:
Ca 0.000 0.000 0.000  0.01
Ba 0.500 0.500 0.500  -0.02
Tc 0.250 0.250 0.250  1.60
Tc 0.750 0.750 0.750  1.60

Computed properties:
offset from the most stable computed form	1004	meV per atom
M_tot	3.7	μB/f.u.
energy of formation from the pure elements	1.27	eV/atom
crystal system	cubic

***

# 6
The following is a PBE-GGA calculation of Rb2HBr after structural relaxation, from Alexandria.

Unit cell a=4.529 b=4.529 c=8.323 alpha=74.21 beta=74.21 gamma=60.00
Fractional positions:
Rb 0.073 0.073 0.782
Rb 0.261 0.261 0.218
H 0.667 0.667 0.998
Br 0.499 0.499 0.502

Computed properties:
offset from the most stable computed form	18	meV per atom
M_tot	0.0	μB/f.u.
crystal system	trigonal

***

Calculated total energy readings, ordered: -25.206; -18.038; -130.000; -29.959; -19.581; -10.632 eV per cell